Pr6Cu2Pd, optimized geometry, DFT PBE; ρ = 6.66 Mg/m³; energy relative to the lowest polymorph listed for this composition = 0.0654 eV per atom; formation energy = -0.1352 eV/atom
1.0
6.662 0.000 0.136
0.000 7.590 0.000
-0.639 0.000 10.620
Pr Pd Cu
12 2 4
direct
0.327 0.835 0.068 Pr
0.154 0.305 0.075 Pr
0.657 0.452 0.260 Pr
0.846 0.695 0.925 Pr
0.843 0.952 0.240 Pr
0.157 0.048 0.760 Pr
0.346 0.805 0.425 Pr
0.654 0.195 0.575 Pr
0.827 0.665 0.568 Pr
0.343 0.548 0.740 Pr
0.673 0.165 0.932 Pr
0.173 0.335 0.432 Pr
0.500 0.500 0.000 Pd
0.000 0.000 0.500 Pd
0.430 0.111 0.265 Cu
0.570 0.889 0.735 Cu
0.070 0.611 0.235 Cu
0.930 0.389 0.765 Cu



NiPbCl2, optimized geometry, DFT PBE; ρ = 6.35 Mg/m³; energy relative to the lowest polymorph listed for this composition = 0.4916 eV per atom
1.0
-0.009 -1.590 5.822
4.365 -3.336 2.497
-0.721 4.862 -3.502
Pb Ni Cl
1 1 2
direct
0.750 0.250 0.500 Pb
0.500 0.500 0.000 Ni
0.000 0.000 0.000 Cl
0.250 0.750 0.500 Cl